(1)
The following is a DFT calculation (PBE) of a geometry-optimized AcNd2Bi3 structure.

Unit cell a=4.7014 b=6.6627 c=14.1035 alpha=90.00 beta=90.00 gamma=90.00
Space group Immm (No. 71)
Inequivalent atoms, fractional coordinates:
1 Ac 0.0000 0.0000 0.0000
2 Nd 0.0000 0.0000 0.3349
3 Bi 0.0000 0.5000 0.0000
4 Bi 0.0000 0.5000 0.3256

Calculated values
total energy: -5.165 eV/atom
E_form: -0.951 eV per atom
volume: 36.81 A^3/atom

(2)
The following is a DFT calculation (PBE) of a geometry-optimized AcNdBiO6 structure.

Unit cell a=5.9762 b=5.9762 c=5.1939 alpha=90.00 beta=90.00 gamma=120.00
Space group P312 (No. 149)
Inequivalent atoms, fractional coordinates:
1 Ac 0.0000 0.0000 0.0000
2 Nd 0.3333 0.6667 0.5000
3 Bi 0.6667 0.3333 0.5000
4 O 0.3646 0.0297 0.7243

Calculated values
raw formation energy: -2.070 eV/atom
total energy: -6.793 eV/atom
volume: 17.85 A^3/atom